Computed, not measured: PmTaP after structural relaxation at the GGA-PBE level of DFT.

Calculated values
Calculated formation energy in meV per atom: -727
SG: No. 12
Magnetization in μB/f.u.: 0.0

Structure (extended XYZ):
```
6
Lattice="5.044 -1.901 0.000 5.044 1.901 0.000 -1.464 0.000 7.033" Properties=species:S:1:pos:R:3 pbc="T T T"
Pm 0.632 0.000 2.258
Pm 7.993 0.000 4.776
Ta 3.612 0.000 0.371
Ta 5.013 0.000 6.662
P 0.807 0.000 5.204
P 7.818 0.000 1.830
```

Computed, not measured: TbPm3P4 after structural relaxation at the GGA-PBE level of DFT.

Calculated values
Calculated formation energy in meV per atom: -1573
SG: No. 13
Magnetization in μB/f.u.: 0.0

Structure (extended XYZ):
```
16
Lattice="7.110 0.000 0.000 0.000 8.219 0.000 -2.374 0.000 6.703" Properties=species:S:1:pos:R:3 pbc="T T T"
Tb -0.593 1.022 1.676
Tb -1.780 7.197 5.027
Pm -1.780 3.077 5.027
Pm -0.593 5.142 1.676
Pm 1.775 1.023 5.027
Pm 2.962 3.076 1.676
Pm 1.775 5.143 5.027
Pm 2.962 7.196 1.676
P 1.746 1.008 0.001
P 0.559 7.210 3.353
P 0.583 3.063 3.336
P -0.604 5.155 6.687
P 5.341 3.063 0.016
P 4.154 5.155 3.367
P 4.177 1.008 3.350
P 2.991 7.210 6.702
```

Computed, not measured: TbPmP after structural relaxation at the GGA-PBE level of DFT.

Calculated values
Energy above the lowest structure with this stoichiometry in eV per atom: 0.1359
Calculated formation energy in meV per atom: -851
SG: No. 216
Magnetization in μB/f.u.: 0.0

Structure (extended XYZ):
```
3
Lattice="0.000 3.379 3.379 3.379 0.000 3.379 3.379 3.379 0.000" Properties=species:S:1:pos:R:3 pbc="T T T"
Tb 0.000 0.000 0.000
Pm 3.379 3.379 3.379
P 5.069 5.069 5.069
```

Computed, not measured: Tb5PmP6 after structural relaxation at the GGA-PBE level of DFT.

Calculated values
Calculated formation energy in meV per atom: -1602
SG: No. 12
Magnetization in μB/f.u.: 0.0

Structure (extended XYZ):
```
12
Lattice="3.506 -6.069 0.000 3.506 6.069 0.000 -2.339 0.000 6.607" Properties=species:S:1:pos:R:3 pbc="T T T"
Tb 0.000 0.000 0.000
Tb 2.336 4.044 3.304
Tb 3.506 2.015 0.000
Tb 3.506 -2.015 0.000
Tb 2.336 -4.044 3.304
Pm 2.336 0.000 3.304
P 1.157 2.043 1.637
P -0.025 0.000 4.968
P 1.157 -2.043 1.637
P 3.516 2.043 4.970
P 4.697 0.000 1.639
P 3.516 -2.043 4.970
```

Computed, not measured: TbPmP2 after structural relaxation at the GGA-PBE level of DFT.

Calculated values
Energy above the lowest structure with this stoichiometry in eV per atom: 0.1770
Calculated formation energy in meV per atom: -1408
SG: No. 160
Magnetization in μB/f.u.: 0.0

Structure (extended XYZ):
```
4
Lattice="2.020 1.166 6.944 -2.020 1.166 6.944 0.000 -2.333 6.944" Properties=species:S:1:pos:R:3 pbc="T T T"
Tb 0.000 0.000 0.000
Pm 0.000 0.000 17.257
P 0.000 0.000 5.185
P 0.000 0.000 8.615
```

Computed, not measured: TbPm3P4 after structural relaxation at the GGA-PBE level of DFT.

Calculated values
Calculated formation energy in meV per atom: -1573
SG: No. 65
Magnetization in μB/f.u.: 0.0

Structure (extended XYZ):
```
8
Lattice="4.106 -5.805 0.000 4.106 5.805 0.000 0.000 0.000 4.108" Properties=species:S:1:pos:R:3 pbc="T T T"
Tb 0.000 0.000 0.000
Pm 2.053 2.903 2.054
Pm 2.053 -2.903 2.054
Pm 4.106 0.000 0.000
P 2.020 0.000 2.054
P 4.106 2.927 0.000
P 4.106 -2.927 0.000
P 6.193 0.000 2.054
```

Computed, not measured: TbPmP2 after structural relaxation at the GGA-PBE level of DFT.

Calculated values
Energy above the lowest structure with this stoichiometry in eV per atom: 0.2120
Calculated formation energy in meV per atom: -1373
SG: No. 164
Magnetization in μB/f.u.: 0.0

Structure (extended XYZ):
```
4
Lattice="4.037 0.000 0.000 -2.019 3.496 0.000 0.000 0.000 7.083" Properties=species:S:1:pos:R:3 pbc="T T T"
Tb 0.000 0.000 0.000
Pm 0.000 0.000 3.542
P 0.000 2.331 1.727
P 2.019 1.165 5.357
```

Computed, not measured: TbPmP after structural relaxation at the GGA-PBE level of DFT.

Calculated values
Energy above the lowest structure with this stoichiometry in eV per atom: 0.0000
Calculated formation energy in meV per atom: -987
SG: No. 12
Magnetization in μB/f.u.: 0.0

Structure (extended XYZ):
```
6
Lattice="6.498 -1.986 0.000 6.498 1.986 0.000 -1.200 0.000 6.777" Properties=species:S:1:pos:R:3 pbc="T T T"
Tb 1.175 0.000 2.571
Tb 10.621 0.000 4.206
Pm 4.749 0.000 0.873
Pm 7.047 0.000 5.905
P 2.389 0.000 5.066
P 9.406 0.000 1.712
```

Computed, not measured: TbPmP2 after structural relaxation at the GGA-PBE level of DFT.

Calculated values
Energy above the lowest structure with this stoichiometry in eV per atom: 0.0013
Calculated formation energy in meV per atom: -1584
SG: No. 141
Magnetization in μB/f.u.: 0.0

Structure (extended XYZ):
```
8
Lattice="-2.885 2.885 5.772 2.885 -2.885 5.772 2.885 2.885 -5.772" Properties=species:S:1:pos:R:3 pbc="T T T"
Tb 2.885 1.442 1.443
Tb 0.000 1.442 4.329
Pm 2.885 -1.442 4.329
Pm 0.000 4.327 1.443
P 2.885 1.442 -1.414
P 0.000 1.442 1.472
P 2.885 1.442 4.299
P 0.000 1.442 7.185
```

Computed, not measured: Tb2PmP3 after structural relaxation at the GGA-PBE level of DFT.

Calculated values
Calculated formation energy in meV per atom: -1592
SG: No. 71
Magnetization in μB/f.u.: 0.0

Structure (extended XYZ):
```
6
Lattice="-2.033 2.873 6.093 2.033 -2.873 6.093 2.033 2.873 -6.093" Properties=species:S:1:pos:R:3 pbc="T T T"
Tb 0.000 0.000 2.026
Tb 0.000 0.000 10.159
Pm 0.000 0.000 6.093
P 2.033 0.000 0.000
P 2.033 0.000 4.021
P 0.000 2.873 2.072
```

Computed, not measured: TbPmP2 after structural relaxation at the GGA-PBE level of DFT.

Calculated values
Energy above the lowest structure with this stoichiometry in eV per atom: 0.5227
Calculated formation energy in meV per atom: -1063
SG: No. 225
Magnetization in μB/f.u.: 0.0

Structure (extended XYZ):
```
4
Lattice="0.000 3.522 3.522 3.522 0.000 3.522 3.522 3.522 0.000" Properties=species:S:1:pos:R:3 pbc="T T T"
Tb 0.000 0.000 0.000
Pm 3.522 3.522 3.522
P 1.761 1.761 1.761
P 5.283 5.283 5.283
```

Computed, not measured: TbPm5P6 after structural relaxation at the GGA-PBE level of DFT.

Calculated values
Calculated formation energy in meV per atom: -1570
SG: No. 12
Magnetization in μB/f.u.: 0.0

Structure (extended XYZ):
```
12
Lattice="3.565 -6.173 0.000 3.565 6.173 0.000 -2.379 0.000 6.720" Properties=species:S:1:pos:R:3 pbc="T T T"
Tb 0.000 0.000 0.000
Pm 2.375 4.109 3.360
Pm 3.565 2.055 0.000
Pm 2.375 0.000 3.360
Pm 3.565 -2.055 0.000
Pm 2.375 -4.109 3.360
P 1.176 2.038 1.665
P -0.026 0.000 5.053
P 1.176 -2.038 1.665
P 3.574 2.038 5.055
P 4.776 0.000 1.667
P 3.574 -2.038 5.055
```

Computed, not measured: TbPmP2 after structural relaxation at the GGA-PBE level of DFT.

Calculated values
Energy above the lowest structure with this stoichiometry in eV per atom: 0.0000
Calculated formation energy in meV per atom: -1585
SG: No. 166
Magnetization in μB/f.u.: 0.0

Structure (extended XYZ):
```
4
Lattice="2.041 1.178 6.658 -2.041 1.178 6.658 0.000 -2.357 6.658" Properties=species:S:1:pos:R:3 pbc="T T T"
Tb 0.000 0.000 0.000
Pm 0.000 0.000 9.987
P 0.000 0.000 5.035
P 0.000 0.000 14.939
```

Computed, not measured: Tb3PmP after structural relaxation at the GGA-PBE level of DFT.

Calculated values
Calculated formation energy in meV per atom: -413
SG: No. 221
Magnetization in μB/f.u.: 0.8

Structure (extended XYZ):
```
5
Lattice="5.422 0.000 0.000 0.000 5.422 0.000 0.000 0.000 5.422" Properties=species:S:1:pos:R:3 pbc="T T T"
Tb 0.000 0.000 2.711
Tb 0.000 2.711 0.000
Tb 2.711 0.000 0.000
Pm 2.711 2.711 2.711
P 0.000 0.000 0.000
```

Computed, not measured: Tb4PmP5 after structural relaxation at the GGA-PBE level of DFT.

Calculated values
Calculated formation energy in meV per atom: -1599
SG: No. 71
Magnetization in μB/f.u.: 0.0

Structure (extended XYZ):
```
10
Lattice="-2.025 2.863 10.120 2.025 -2.863 10.120 2.025 2.863 -10.120" Properties=species:S:1:pos:R:3 pbc="T T T"
Tb 0.000 0.000 2.035
Tb 0.000 0.000 6.052
Tb 0.000 0.000 14.187
Tb 0.000 0.000 18.204
Pm 0.000 0.000 10.120
P 2.025 0.000 0.000
P 2.025 0.000 4.044
P 2.025 0.000 8.048
P 0.000 2.863 2.071
P 0.000 2.863 6.076
```

Computed, not measured: TbPmP2 after structural relaxation at the GGA-PBE level of DFT.

Calculated values
Energy above the lowest structure with this stoichiometry in eV per atom: 0.5251
Calculated formation energy in meV per atom: -1060
SG: No. 123
Magnetization in μB/f.u.: 0.0

Structure (extended XYZ):
```
4
Lattice="4.978 0.000 0.000 0.000 4.978 0.000 0.000 0.000 3.527" Properties=species:S:1:pos:R:3 pbc="T T T"
Tb 0.000 0.000 0.000
Pm 2.489 2.489 0.000
P 0.000 2.489 1.764
P 2.489 0.000 1.764
```

Computed, not measured: TbPmP after structural relaxation at the GGA-PBE level of DFT.

Calculated values
Energy above the lowest structure with this stoichiometry in eV per atom: 0.0377
Calculated formation energy in meV per atom: -949
SG: No. 156
Magnetization in μB/f.u.: 0.1

Structure (extended XYZ):
```
3
Lattice="3.968 0.000 0.000 -1.984 3.437 0.000 0.000 0.000 6.536" Properties=species:S:1:pos:R:3 pbc="T T T"
Tb 0.000 0.000 0.000
Pm 0.000 2.291 3.325
P 1.984 1.146 4.982
```

Computed, not measured: TbPm4P5 after structural relaxation at the GGA-PBE level of DFT.

Calculated values
Calculated formation energy in meV per atom: -1571
SG: No. 87
Magnetization in μB/f.u.: 0.0

Structure (extended XYZ):
```
10
Lattice="-4.597 4.597 2.908 4.597 -4.597 2.908 4.597 4.597 -2.908" Properties=species:S:1:pos:R:3 pbc="T T T"
Tb 0.000 0.000 0.000
Pm 5.510 1.841 0.000
Pm 1.841 3.684 0.000
Pm 2.756 0.913 2.908
Pm -0.913 2.756 2.908
P 2.730 0.910 0.000
P 3.687 -1.867 2.908
P 0.000 0.000 2.908
P 0.910 6.464 0.000
P 1.867 3.687 2.908
```

Computed, not measured: TbPmP after structural relaxation at the GGA-PBE level of DFT.

Calculated values
Energy above the lowest structure with this stoichiometry in eV per atom: 0.2453
Calculated formation energy in meV per atom: -741
SG: No. 107
Magnetization in μB/f.u.: 0.0

Structure (extended XYZ):
```
3
Lattice="-1.772 1.772 6.359 1.772 -1.772 6.359 1.772 1.772 -6.359" Properties=species:S:1:pos:R:3 pbc="T T T"
Tb 0.000 0.000 0.000
Pm 0.000 0.000 3.239
P 0.000 0.000 7.909
```

Computed, not measured: TbPm2P3 after structural relaxation at the GGA-PBE level of DFT.

Calculated values
Calculated formation energy in meV per atom: -1576
SG: No. 71
Magnetization in μB/f.u.: 0.0

Structure (extended XYZ):
```
6
Lattice="-2.051 2.897 6.144 2.051 -2.897 6.144 2.051 2.897 -6.144" Properties=species:S:1:pos:R:3 pbc="T T T"
Tb 0.000 0.000 0.000
Pm 0.000 0.000 4.092
Pm 0.000 0.000 8.197
P 2.051 0.000 2.007
P 0.000 2.897 0.000
P 0.000 2.897 4.137
```

Computed, not measured: TbPmTeP after structural relaxation at the GGA-PBE level of DFT.

Calculated values
Uncorrected formation energy in kcal/mol of atoms: -35.36
SG: No. 160
Magnetization in μB/f.u.: 0.0

Structure (extended XYZ):
```
4
Lattice="2.067 1.193 7.378 -2.067 1.193 7.378 0.000 -2.387 7.378" Properties=species:S:1:pos:R:3 pbc="T T T"
Tb 0.000 0.000 0.000
Pm 0.000 0.000 17.854
Te 0.000 0.000 5.270
P 0.000 0.000 8.913
```

Computed, not measured: TbPmTh2P4 after structural relaxation at the GGA-PBE level of DFT.

Calculated values
Calculated formation energy in meV per atom: -1580
SG: No. 10
Magnetization in μB/f.u.: 0.0

Structure (extended XYZ):
```
8
Lattice="7.099 0.000 0.000 0.000 4.122 0.000 -2.401 0.000 6.724" Properties=species:S:1:pos:R:3 pbc="T T T"
Tb 0.000 0.000 0.000
Pm -1.200 2.061 3.362
Th 2.349 0.000 3.362
Th 3.549 2.061 0.000
P 1.163 2.061 1.656
P -0.036 0.000 5.059
P 4.734 0.000 1.665
P 3.535 2.061 5.068
```

Computed, not measured: TbPm3Th2P6 after structural relaxation at the GGA-PBE level of DFT.

Calculated values
Calculated formation energy in meV per atom: -1588
SG: No. 12
Magnetization in μB/f.u.: 0.0

Structure (extended XYZ):
```
12
Lattice="8.983 -2.063 0.000 8.983 2.063 0.000 -1.899 0.000 8.012" Properties=species:S:1:pos:R:3 pbc="T T T"
Tb 0.000 0.000 0.000
Pm -0.949 0.000 4.006
Pm 5.688 0.000 1.328
Pm 10.379 0.000 6.683
Th 4.749 0.000 5.368
Th 11.319 0.000 2.644
P 2.806 0.000 0.668
P 1.903 0.000 4.662
P 8.522 0.000 1.970
P 7.546 0.000 6.041
P 14.165 0.000 3.350
P 13.262 0.000 7.344
```

Computed, not measured: TbPm2ThP4 after structural relaxation at the GGA-PBE level of DFT.

Calculated values
Calculated formation energy in meV per atom: -1597
SG: No. 10
Magnetization in μB/f.u.: 0.0

Structure (extended XYZ):
```
8
Lattice="7.107 0.000 0.000 0.000 4.115 0.000 -2.371 0.000 6.718" Properties=species:S:1:pos:R:3 pbc="T T T"
Tb 0.000 0.000 0.000
Pm -1.186 2.058 3.359
Pm 2.368 0.000 3.359
Th 3.554 2.058 0.000
P 1.174 2.058 1.643
P -0.016 0.000 5.061
P 4.753 0.000 1.657
P 3.562 2.058 5.075
```

Computed, not measured: Tb3PmTh2P6 after structural relaxation at the GGA-PBE level of DFT.

Calculated values
Calculated formation energy in meV per atom: -1599
SG: No. 12
Magnetization in μB/f.u.: 0.0

Structure (extended XYZ):
```
12
Lattice="8.895 -2.047 0.000 8.895 2.047 0.000 -1.844 0.000 7.943" Properties=species:S:1:pos:R:3 pbc="T T T"
Tb 0.000 0.000 0.000
Tb 4.720 0.000 5.291
Tb 11.226 0.000 2.653
Pm -0.922 0.000 3.972
Th 5.642 0.000 1.344
Th 10.305 0.000 6.599
P 2.792 0.000 0.683
P 1.923 0.000 4.613
P 7.488 0.000 5.991
P 8.458 0.000 1.952
P 14.024 0.000 3.330
P 13.155 0.000 7.261
```

Computed, not measured: TbPmTm2P4 after structural relaxation at the GGA-PBE level of DFT.

Calculated values
Calculated formation energy in meV per atom: -1590
SG: No. 10
Magnetization in μB/f.u.: 0.0

Structure (extended XYZ):
```
8
Lattice="6.950 0.000 0.000 0.000 4.017 0.000 -2.319 0.000 6.556" Properties=species:S:1:pos:R:3 pbc="T T T"
Tb 0.000 0.000 0.000
Pm -1.159 2.009 3.278
Tm 2.316 0.000 3.278
Tm 3.475 2.009 0.000
P 1.208 2.009 1.636
P 0.049 0.000 4.956
P 4.582 0.000 1.601
P 3.423 2.009 4.920
```